## TmCuPb (GGA-PBE)

Data for crystalline TmCuPb at its relaxed geometry.

abc: 4.5810 4.5810 7.2696
angles: 90.00 90.00 120.00
Space group P6_3mc (No. 186)
Symmetry-distinct sites (fractional):
Tm1 0.0000 0.0000 0.0000 [2 per cell]
Cu1 0.3333 0.6667 0.3283 [2 per cell]
Pb1 0.3333 0.6667 0.7302 [2 per cell]

Calculated values
size of the total moment = 0.0 μB/f.u.
DFT total energy = -13.0 eV/f.u.
density = 11.05 g/cm3

## Tm5CuPb3 (GGA-PBE)

Data for crystalline Tm5CuPb3 at its relaxed geometry.

abc: 9.0776 9.0776 6.5949
angles: 90.00 90.00 120.00
Space group P6_3/mcm (No. 193)
Symmetry-distinct sites (fractional):
Tm1 0.0000 0.2522 0.2500 [6 per cell]
Tm2 0.3333 0.6667 0.0000 [4 per cell]
Cu1 0.0000 0.0000 0.0000 [2 per cell]
Pb1 0.0000 0.3906 0.7500 [6 per cell]

Calculated values
size of the total moment = 0.0 μB/f.u.
DFT total energy = -41.4 eV/f.u.
density = 10.80 g/cm3

## YTmCu2Pb (GGA-PBE)

Data for crystalline YTmCu2Pb at its relaxed geometry.

abc: 3.675 4.207 13.957
angles: 90.00 90.00 90.00
Space group Amm2 (No. 38)
Symmetry-distinct sites (fractional):
Y1 0.000 0.000 0.000 [2 per cell]
Tm1 0.000 0.000 0.271 [2 per cell]
Cu1 0.500 0.000 0.429 [2 per cell]
Cu2 0.500 0.000 0.836 [2 per cell]
Pb1 0.500 0.000 0.635 [2 per cell]

Calculated values
size of the total moment = 0.0 μB/f.u.
DFT total energy = -24.0 eV/f.u.
density = 9.11 g/cm3

## CuPb5W3 (GGA-PBE)

Data for crystalline CuPb5W3 at its relaxed geometry.

abc: 5.5889 5.5889 8.8094
angles: 90.00 90.00 120.00
Space group P6/mmm (No. 191)
Symmetry-distinct sites (fractional):
Cu1 0.0000 0.0000 0.0000 [1 per cell]
Pb1 0.0000 0.0000 0.5000 [1 per cell]
Pb2 0.3333 0.6667 0.2028 [4 per cell]
W1 0.0000 0.5000 0.5000 [3 per cell]

Calculated values
size of the total moment = 0.0 μB/f.u.
DFT total energy = -54.7 eV/f.u.
density = 11.50 g/cm3

## ZnCuPbW (GGA-PBE)

Data for crystalline ZnCuPbW at its relaxed geometry.

abc: 6.541 6.541 6.541
angles: 90.00 90.00 90.00
Space group F-43m (No. 216)
Symmetry-distinct sites (fractional):
Zn1 0.000 0.000 0.000 [4 per cell]
Cu1 0.250 0.250 0.750 [4 per cell]
Pb1 0.000 0.000 0.500 [4 per cell]
W1 0.250 0.250 0.250 [4 per cell]

Calculated values
size of the total moment = 1.2 μB/f.u.
DFT total energy = -18.1 eV/f.u.
density = 12.34 g/cm3

## ZnCuPbW (GGA-PBE)

Data for crystalline ZnCuPbW at its relaxed geometry.

abc: 6.547 6.547 6.547
angles: 90.00 90.00 90.00
Space group F-43m (No. 216)
Symmetry-distinct sites (fractional):
Zn1 0.000 0.000 0.000 [4 per cell]
Cu1 0.000 0.000 0.500 [4 per cell]
Pb1 0.250 0.250 0.250 [4 per cell]
W1 0.250 0.250 0.750 [4 per cell]

Calculated values
size of the total moment = 1.6 μB/f.u.
DFT total energy = -17.8 eV/f.u.
density = 12.31 g/cm3

- Which of these has the highest size of the total moment?
  number 6

- Which of these has the highest DFT total energy?
  TmCuPb

- Number 4 is which compound?
  CuPb5W3